DFT (PBE) results for crystalline In2HgBi at its relaxed geometry.

Its volume is 512 Å³/cell. The calculation puts the energy relative to the lowest polymorph listed for this composition at 0.613 eV per formula unit. For the magnetization, the calculation gives 0.000 μB/atom. Its formation energy is 0.135 eV/atom. The final energy comes out at -2.28 eV/atom.

The structure belongs to space group R-3m (No. 166, hexagonal axes); the cell edges are 4.6919, 4.6919 and 26.8635 Å and the angles 90.00°, 90.00° and 120.00°. The distinct sites, in fractional coordinates, are In at (0.0000, 0.0000, 0.1095), Hg at (0.0000, 0.0000, 0.0000) and Bi at (0.0000, 0.0000, 0.5000).